First-principles (PBE) data for an optimized crystal structure of La2SiAu, as listed in Alexandria via LeMat-Bulk.

Cell: 7.963 7.963 6.845 Å, 54.43 54.43 90.00°
Fractional coordinates of all 8 atoms:
La 0.875 0.866 0.750
La 0.134 0.625 0.250
La 0.375 0.384 0.750
La 0.616 0.125 0.250
Au 0.750 0.250 0.500
Au 0.000 0.000 0.000
Si 0.250 0.750 0.500
Si 0.500 0.500 0.000

Results
For the formation energy without anion corrections, the calculation gives -0.38 eV per atom. Its density is 6.77 g/cm3. As for the crystal system: tetragonal. Its calculated total energy is -40.2 eV per cell.

First-principles (PBE) data for an optimized crystal structure of Th12CdFe6, as listed in Alexandria via LeMat-Bulk.

Cell: 8.564 8.564 8.564 Å, 109.47 109.47 109.47°
Fractional coordinates of all 19 atoms:
Th 0.182 0.685 0.867
Th 0.818 0.685 0.504
Th 0.685 0.504 0.818
Th 0.182 0.315 0.496
Th 0.867 0.182 0.685
Th 0.496 0.182 0.315
Th 0.315 0.133 0.818
Th 0.315 0.496 0.182
Th 0.685 0.867 0.182
Th 0.818 0.315 0.133
Th 0.504 0.818 0.685
Th 0.133 0.818 0.315
Fe 0.640 0.500 0.140
Fe 0.500 0.860 0.360
Fe 0.500 0.140 0.640
Fe 0.140 0.640 0.500
Fe 0.360 0.500 0.860
Fe 0.860 0.360 0.500
Cd 0.000 0.000 0.000

Results
Its density is 11.10 g/cm3. As for the crystal system: cubic. Its calculated total energy is -141.7 eV per cell.

> Look up the calculated total energy of the second one.

-141.7 eV per cell